The following is a DFT calculation (PBE) of a relaxed NaMgNb2W crystal.

```
NaMgNb2W
1.0
4.8725 0.0000 0.0000
0.0000 4.8725 0.0000
0.0000 0.0000 5.4245
Na Mg Nb W
1 1 2 1
Cartesian
0.0000 0.0000 0.0000
2.4363 2.4363 0.0000
0.0000 2.4363 2.7122
2.4363 0.0000 2.7122
2.4363 2.4363 2.7122
```

Summary:
total magnetic moment = 0.0 μB/f.u.
ΔH_f (0 K) = 1.135 eV/atom
space group = P4/mmm